The following is a DFT calculation (PBE-GGA) of an optimized crystal structure of RbMgIn2Co.

Final energy   -15.1 eV per cell
Symmetry   P4/mmm, No. 123
Formation enthalpy at 0 K   0.0074 eV per atom
Spin magnetization   0.0 μB per cell

```
RbMgIn2Co
1.0
-3.390 0.342 -3.747
2.452 -3.625 -2.549
-2.903 -3.581 2.300
Co Mg Rb In
1 1 1 2
Direct
0.000 0.000 0.000
0.000 0.000 0.500
0.500 0.500 0.500
0.500 0.000 0.000
0.000 0.500 0.000
```